1.
ThNbNi2 after structural relaxation, computed with PBE.

Cell: 4.2621 4.2621 14.7761 Å, 90.00 90.00 120.00°
Space group R-3m (No. 166, hexagonal axes)
One atom of each set of equivalent atoms:
1 Th 0.0000 0.0000 0.0000
2 Nb 0.0000 0.0000 0.5000
3 Ni 0.0000 0.0000 0.2029

Results
- raw total energy (eV/cell) = -89.71

***

2.
TcOsRh2 after structural relaxation, computed with PBE.

Cell: 2.7190 4.3603 4.7924 Å, 90.00 90.00 90.00°
Space group Pmm2 (No. 25)
One atom of each set of equivalent atoms:
1 Tc 0.0000 0.0000 0.0000
2 Os 0.0000 0.5000 0.6818
3 Rh 0.5000 0.0000 0.5056
4 Rh 0.5000 0.5000 0.1787

Results
- raw total energy (eV/cell) = -36.54
- E above lowest polymorph (eV/f.u.) = 0.00

***

3.
TbErLuTl after structural relaxation, computed with PBE.

Cell: 7.6728 7.6728 7.6728 Å, 90.00 90.00 90.00°
Space group F-43m (No. 216)
One atom of each set of equivalent atoms:
1 Tb 0.0000 0.0000 0.0000
2 Er 0.0000 0.0000 0.5000
3 Lu 0.2500 0.2500 0.2500
4 Tl 0.2500 0.2500 0.7500

Results
- raw total energy (eV/cell) = -64.84

***

4.
PmVTe2 after structural relaxation, computed with PBE.

Cell: 3.8692 3.8692 28.4848 Å, 90.00 90.00 120.00°
Space group R-3m (No. 166, hexagonal axes)
One atom of each set of equivalent atoms:
1 Pm 0.0000 0.0000 0.0000
2 V 0.0000 0.0000 0.5000
3 Te 0.0000 0.0000 0.1096

Results
- raw total energy (eV/cell) = -63.64
- formation energy (no corrections) (meV/atom) = -265

***

Among the records above, which one has the highest raw total energy?
TcOsRh2